No. 1
# Al4CdPt PBE-GGA optimized geometry
data_Al4CdPt
_chemical_formula_sum 'Al4 Cd1 Pt1'
_symmetry_space_group_name_H-M 'P 1'
_symmetry_Int_Tables_number 1
_symmetry_space_group_name_Hall 'P 1'
_cell_length_a 5.2793
_cell_length_b 5.2793
_cell_length_c 5.2793
_cell_angle_alpha 60.00
_cell_angle_beta 60.00
_cell_angle_gamma 60.00
loop_
_atom_site_label
_atom_site_type_symbol
_atom_site_fract_x
_atom_site_fract_y
_atom_site_fract_z
Al1 Al 0.8748 0.3751 0.3751
Al2 Al 0.3751 0.3751 0.8748
Al3 Al 0.3751 0.8748 0.3751
Al4 Al 0.3751 0.3751 0.3751
Cd1 Cd 0.7500 0.7500 0.7500
Pt1 Pt 0.0000 0.0000 0.0000
# electronic total energy: -3.58 eV/atom
# formation enthalpy at 0 K: 45.2 kJ/mol of formula units
# volume: 17.341 Å³ per atom

***

No. 2
# Al2CdPt PBE-GGA optimized geometry
data_Al2CdPt
_chemical_formula_sum 'Al2 Cd1 Pt1'
_symmetry_space_group_name_H-M 'P 1'
_symmetry_Int_Tables_number 1
_symmetry_space_group_name_Hall 'P 1'
_cell_length_a 7.0243
_cell_length_b 4.7094
_cell_length_c 6.1443
_cell_angle_alpha 125.48
_cell_angle_beta 151.16
_cell_angle_gamma 70.43
loop_
_atom_site_label
_atom_site_type_symbol
_atom_site_fract_x
_atom_site_fract_y
_atom_site_fract_z
Al1 Al 0.9403 0.0075 0.9951
Al2 Al 0.5566 0.2381 0.3275
Pt1 Pt 0.2877 0.7009 0.4717
Cd1 Cd 0.7154 0.5535 0.2057
# electronic total energy: -4.01 eV/atom
# formation enthalpy at 0 K: -156.2 kJ/mol of formula units
# volume: 17.905 Å³ per atom

***

No. 3
# AlCdPt3 PBE-GGA optimized geometry
data_AlCdPt3
_chemical_formula_sum 'Al1 Cd1 Pt3'
_symmetry_space_group_name_H-M 'P 1'
_symmetry_Int_Tables_number 1
_symmetry_space_group_name_Hall 'P 1'
_cell_length_a 4.5897
_cell_length_b 4.5897
_cell_length_c 4.5897
_cell_angle_alpha 90.00
_cell_angle_beta 90.00
_cell_angle_gamma 90.00
loop_
_atom_site_label
_atom_site_type_symbol
_atom_site_fract_x
_atom_site_fract_y
_atom_site_fract_z
Al1 Al 0.0000 0.0000 0.0000
Pt1 Pt 0.0000 0.5000 0.0000
Pt2 Pt 0.0000 0.0000 0.5000
Pt3 Pt 0.5000 0.0000 0.0000
Cd1 Cd 0.5000 0.5000 0.5000
# energy above the lowest structure with this stoichiometry: 0 kJ/mol of formula units
# electronic total energy: -4.45 eV/atom
# formation enthalpy at 0 K: 51.7 kJ/mol of formula units
# volume: 19.337 Å³ per atom

***

No. 4
# Al2CdPt PBE-GGA optimized geometry
data_Al2CdPt
_chemical_formula_sum 'Al2 Cd1 Pt1'
_symmetry_space_group_name_H-M 'P 1'
_symmetry_Int_Tables_number 1
_symmetry_space_group_name_Hall 'P 1'
_cell_length_a 3.3150
_cell_length_b 3.6996
_cell_length_c 5.5547
_cell_angle_alpha 90.00
_cell_angle_beta 90.00
_cell_angle_gamma 90.00
loop_
_atom_site_label
_atom_site_type_symbol
_atom_site_fract_x
_atom_site_fract_y
_atom_site_fract_z
Al1 Al 0.0000 0.0000 0.9736
Al2 Al 0.5000 0.5000 0.2459
Pt1 Pt 0.5000 0.5000 0.7933
Cd1 Cd 0.0000 0.0000 0.4872
# electronic total energy: -3.97 eV/atom
# formation enthalpy at 0 K: -139.5 kJ/mol of formula units
# volume: 17.030 Å³ per atom

***

No. 5
# AlCd2Pt PBE-GGA optimized geometry
data_AlCd2Pt
_chemical_formula_sum 'Al1 Cd2 Pt1'
_symmetry_space_group_name_H-M 'P 1'
_symmetry_Int_Tables_number 1
_symmetry_space_group_name_Hall 'P 1'
_cell_length_a 7.3799
_cell_length_b 7.3799
_cell_length_c 4.2152
_cell_angle_alpha 73.55
_cell_angle_beta 73.55
_cell_angle_gamma 22.10
loop_
_atom_site_label
_atom_site_type_symbol
_atom_site_fract_x
_atom_site_fract_y
_atom_site_fract_z
Al1 Al 0.2500 0.2500 0.2500
Pt1 Pt 0.7500 0.7500 0.7500
Cd1 Cd 0.0645 0.0645 0.9364
Cd2 Cd 0.4355 0.4355 0.5636
# electronic total energy: -3.30 eV/atom
# formation enthalpy at 0 K: -151.3 kJ/mol of formula units
# volume: 20.678 Å³ per atom

***

No. 6
# Al2CdPt9 PBE-GGA optimized geometry
data_Al2CdPt9
_chemical_formula_sum 'Al2 Cd1 Pt9'
_symmetry_space_group_name_H-M 'P 1'
_symmetry_Int_Tables_number 1
_symmetry_space_group_name_Hall 'P 1'
_cell_length_a 3.9610
_cell_length_b 3.9610
_cell_length_c 11.8949
_cell_angle_alpha 90.00
_cell_angle_beta 90.00
_cell_angle_gamma 90.00
loop_
_atom_site_label
_atom_site_type_symbol
_atom_site_fract_x
_atom_site_fract_y
_atom_site_fract_z
Al1 Al 0.0000 0.0000 0.3337
Al2 Al 0.0000 0.0000 0.6663
Cd1 Cd 0.0000 0.0000 0.0000
Pt1 Pt 0.5000 0.5000 0.0000
Pt2 Pt 0.5000 0.5000 0.3388
Pt3 Pt 0.5000 0.5000 0.6612
Pt4 Pt 0.5000 0.0000 0.1777
Pt5 Pt 0.5000 0.0000 0.5000
Pt6 Pt 0.5000 0.0000 0.8223
Pt7 Pt 0.0000 0.5000 0.1777
Pt8 Pt 0.0000 0.5000 0.5000
Pt9 Pt 0.0000 0.5000 0.8223
# electronic total energy: -5.76 eV/atom
# formation enthalpy at 0 K: -610.1 kJ/mol of formula units
# volume: 15.552 Å³ per atom

***

No. 7
# AlCdPt3 PBE-GGA optimized geometry
data_AlCdPt3
_chemical_formula_sum 'Al1 Cd1 Pt3'
_symmetry_space_group_name_H-M 'P 1'
_symmetry_Int_Tables_number 1
_symmetry_space_group_name_Hall 'P 1'
_cell_length_a 4.9142
_cell_length_b 4.9142
_cell_length_c 4.9142
_cell_angle_alpha 90.00
_cell_angle_beta 90.00
_cell_angle_gamma 90.00
loop_
_atom_site_label
_atom_site_type_symbol
_atom_site_fract_x
_atom_site_fract_y
_atom_site_fract_z
Al1 Al 0.5000 0.5000 0.5000
Pt1 Pt 0.0000 0.5000 0.0000
Pt2 Pt 0.0000 0.0000 0.5000
Pt3 Pt 0.5000 0.0000 0.0000
Cd1 Cd 0.0000 0.0000 0.0000
# energy above the lowest structure with this stoichiometry: 519 kJ/mol of formula units
# electronic total energy: -3.37 eV/atom
# formation enthalpy at 0 K: 571.1 kJ/mol of formula units
# volume: 23.735 Å³ per atom

***

No. 8
# AlCdPt PBE-GGA optimized geometry
data_AlCdPt
_chemical_formula_sum 'Al2 Cd2 Pt2'
_symmetry_space_group_name_H-M 'P 1'
_symmetry_Int_Tables_number 1
_symmetry_space_group_name_Hall 'P 1'
_cell_length_a 3.9678
_cell_length_b 3.9678
_cell_length_c 7.0076
_cell_angle_alpha 90.00
_cell_angle_beta 90.00
_cell_angle_gamma 90.00
loop_
_atom_site_label
_atom_site_type_symbol
_atom_site_fract_x
_atom_site_fract_y
_atom_site_fract_z
Cd1 Cd 0.0000 0.5000 0.8704
Cd2 Cd 0.5000 0.0000 0.1296
Pt1 Pt 0.0000 0.5000 0.2795
Pt2 Pt 0.5000 0.0000 0.7205
Al1 Al 0.5000 0.5000 0.5000
Al2 Al 0.0000 0.0000 0.5000
# electronic total energy: -4.19 eV/atom
# formation enthalpy at 0 K: -180.0 kJ/mol of formula units
# volume: 18.387 Å³ per atom

***

No. 9
# AlCdPtRh PBE-GGA optimized geometry
data_AlCdPtRh
_chemical_formula_sum 'Al1 Cd1 Pt1 Rh1'
_symmetry_space_group_name_H-M 'P 1'
_symmetry_Int_Tables_number 1
_symmetry_space_group_name_Hall 'P 1'
_cell_length_a 4.4627
_cell_length_b 4.4627
_cell_length_c 4.4627
_cell_angle_alpha 60.00
_cell_angle_beta 60.00
_cell_angle_gamma 60.00
loop_
_atom_site_label
_atom_site_type_symbol
_atom_site_fract_x
_atom_site_fract_y
_atom_site_fract_z
Rh1 Rh 0.7500 0.7500 0.7500
Al1 Al 0.0000 0.0000 0.0000
Pt1 Pt 0.2500 0.2500 0.2500
Cd1 Cd 0.5000 0.5000 0.5000
# electronic total energy: -5.05 eV/atom
# formation enthalpy at 0 K: -208.2 kJ/mol of formula units
# volume: 15.711 Å³ per atom

***

No. 10
# AlCdPtS2 PBE-GGA optimized geometry
data_AlCdPtS2
_chemical_formula_sum 'Al1 Cd1 Pt1 S2'
_symmetry_space_group_name_H-M 'P 1'
_symmetry_Int_Tables_number 1
_symmetry_space_group_name_Hall 'P 1'
_cell_length_a 4.8100
_cell_length_b 5.1061
_cell_length_c 4.8100
_cell_angle_alpha 90.00
_cell_angle_beta 90.00
_cell_angle_gamma 90.00
loop_
_atom_site_label
_atom_site_type_symbol
_atom_site_fract_x
_atom_site_fract_y
_atom_site_fract_z
S1 S 0.0000 0.0000 0.5000
S2 S 0.5000 0.0000 0.0000
Al1 Al 0.5000 0.5000 0.5000
Pt1 Pt 0.0000 0.0000 0.0000
Cd1 Cd 0.0000 0.5000 0.0000
# electronic total energy: -3.41 eV/atom
# uncorrected formation energy: 1.88 eV per formula unit
# volume: 23.627 Å³ per atom

***

No. 11
# ScAlCdPt PBE-GGA optimized geometry
data_ScAlCdPt
_chemical_formula_sum 'Sc1 Al1 Cd1 Pt1'
_symmetry_space_group_name_H-M 'P 1'
_symmetry_Int_Tables_number 1
_symmetry_space_group_name_Hall 'P 1'
_cell_length_a 4.6445
_cell_length_b 4.6445
_cell_length_c 4.6445
_cell_angle_alpha 60.00
_cell_angle_beta 60.00
_cell_angle_gamma 60.00
loop_
_atom_site_label
_atom_site_type_symbol
_atom_site_fract_x
_atom_site_fract_y
_atom_site_fract_z
Sc1 Sc 0.5000 0.5000 0.5000
Al1 Al 0.0000 0.0000 0.0000
Pt1 Pt 0.7500 0.7500 0.7500
Cd1 Cd 0.2500 0.2500 0.2500
# electronic total energy: -4.93 eV/atom
# formation enthalpy at 0 K: -259.1 kJ/mol of formula units
# volume: 17.711 Å³ per atom